# 1
A plane-wave DFT calculation with PBEsol was carried out for a geometry-optimized Li4SnB2O6 structure.

Output
The calculation puts the spin magnetization at 0.00 μB/f.u. The final energy is -0.4789 Ry/atom. As for the crystal system: orthorhombic.

```
26
Lattice="-0.0037 3.3444 -0.7925 -8.5968 -0.3205 -1.3125 -1.4287 2.0945 8.8460" Properties=species:S:1:pos:R:3 pbc="T T T"
Li -1.6809 1.6629 -0.4274
Li -0.3617 0.4019 1.6976
Li -4.8237 2.1510 1.6468
Li -6.6208 0.7737 3.2960
Li -3.4047 1.0003 4.2374
Li -5.2054 2.9675 5.0942
Li -9.6637 1.3722 5.8358
Li -8.3482 3.4555 7.1684
Sn -4.2984 -0.1602 -0.6563
Sn -0.7162 2.7195 4.0267
B -6.8951 1.9021 0.6062
B -2.6614 0.4878 2.0708
B -7.3640 1.2863 5.4626
B -3.1340 3.2163 6.1347
O -5.6848 1.7388 -0.0889
O -2.1556 0.1904 0.8136
O -8.0721 1.7365 -0.0875
O -4.0004 0.5596 2.3803
O -6.8099 2.2215 1.9537
O -1.7285 0.7310 3.0931
O -8.2969 1.0430 4.4403
O -3.2192 2.8969 4.7872
O -6.0250 1.2144 5.1531
O -1.9571 3.3820 6.8284
O -7.8699 1.5836 6.7199
O -4.3443 3.3797 6.8298
```


# 2
A plane-wave DFT calculation with PBEsol was carried out for a geometry-optimized Ta2AgRu structure.

Output
The calculation puts the spin magnetization at 0.00 μB/f.u. The formation energy is 0.072 eV per atom. As for the crystal system: tetragonal. As for the energy above the most stable polymorph in this dataset: 11 meV per atom.

```
4
Lattice="-2.9857 -2.3436 -1.0934 2.6265 -2.8269 -1.1128 -0.1223 -1.5682 3.6952" Properties=species:S:1:pos:R:3 pbc="T T T"
Ag -0.2407 -3.3694 0.7444
Ru -1.4929 -1.1718 -0.5467
Ta -0.0611 -0.7841 1.8476
Ta 1.3133 -1.4135 -0.5564
```


# 3
A plane-wave DFT calculation with PBEsol was carried out for a geometry-optimized BeFe structure.

Output
The calculation puts the spin magnetization at 0.00 μB/f.u. The formation energy is -0.176 eV per atom. As for the crystal system: tetragonal.

```
4
Lattice="-0.4583 0.1333 -2.4951 -0.1360 -2.5343 -0.1104 -5.2360 0.2386 0.9745" Properties=species:S:1:pos:R:3 pbc="T T T"
Be -0.8062 0.0930 -1.1401
Be -4.7270 -1.0548 0.8119
Fe -3.5554 0.2182 -0.6285
Fe -1.9778 -1.1801 0.3002
```


# 4
A plane-wave DFT calculation with PBEsol was carried out for a geometry-optimized ZnInS3 structure.

Output
The calculation puts the spin magnetization at 0.00 μB/f.u. The final energy is -0.2436 Ry/atom. As for the crystal system: cubic.

```
5
Lattice="4.6327 0.0000 0.0000 0.0000 4.6327 0.0000 0.0000 0.0000 4.6327" Properties=species:S:1:pos:R:3 pbc="T T T"
Zn 0.0000 0.0000 0.0000
S 0.0000 2.3164 0.0000
S 0.0000 0.0000 2.3164
S 2.3164 0.0000 0.0000
In 2.3164 2.3164 2.3164
```


# 5
A plane-wave DFT calculation with PBEsol was carried out for a geometry-optimized Tl2As2Pd structure.

Output
The calculation puts the spin magnetization at 0.00 μB/f.u. The formation energy is -0.107 eV per atom. As for the crystal system: tetragonal.

```
10
Lattice="-0.8157 2.2511 5.1961 0.7588 -5.6933 2.5856 6.1881 1.0578 0.5132" Properties=species:S:1:pos:R:3 pbc="T T T"
Tl 3.9621 0.8031 3.4238
Tl 5.1624 -1.9032 4.7847
Tl 2.1690 -3.1874 4.8711
Tl 0.9687 -0.4811 3.5102
As 5.6202 -1.1567 1.3834
As 4.5932 -4.2438 2.5596
As 1.3267 -3.4787 1.7154
As 2.3537 -0.3917 0.5392
Pd 0.0000 0.0000 0.0000
Pd 3.4734 -2.3177 1.5494
```


# 6
A plane-wave DFT calculation with PBEsol was carried out for a geometry-optimized YIO2 structure.

Output
The calculation puts the spin magnetization at 0.00 μB/f.u. The final energy is -0.4284 Ry/atom. As for the crystal system: cubic.

```
4
Lattice="-2.2784 -1.1226 3.5804 1.8473 -2.5337 3.0722 1.0639 1.7050 3.9027" Properties=species:S:1:pos:R:3 pbc="T T T"
I 0.3164 -0.9757 5.2776
Y 0.0000 0.0000 0.0000
O 0.1582 -0.4878 2.6388
O 0.4746 -1.4635 7.9164
```


# 7
A plane-wave DFT calculation with PBEsol was carried out for a geometry-optimized LiSb5 structure.

Output
The calculation puts the spin magnetization at 0.00 μB/f.u. As for the crystal system: orthorhombic. As for the energy above the most stable polymorph in this dataset: 0 meV per atom.

```
6
Lattice="4.0403 0.0000 0.0000 0.0000 4.2361 0.0000 0.0000 2.1181 9.1439" Properties=species:S:1:pos:R:3 pbc="T T T"
Li 0.0000 2.1181 0.0000
Sb 2.0201 2.1181 3.4411
Sb 0.0000 2.1181 6.8008
Sb 2.0201 0.0000 0.0000
Sb 0.0000 4.2361 2.3430
Sb 2.0201 4.2361 5.7028
```


# 8
A plane-wave DFT calculation with PBEsol was carried out for a geometry-optimized V3FeP6O24 structure.

Output
The calculation puts the spin magnetization at 5.00 μB/f.u. The final energy is -0.5854 Ry/atom. As for the crystal system: trigonal.

```
34
Lattice="8.3615 0.0000 0.0000 4.1807 7.2413 0.0000 4.1807 2.4138 7.1640" Properties=species:S:1:pos:R:3 pbc="T T T"
V 12.5422 7.2413 3.0290
V 8.3615 4.8275 0.5870
V 8.3615 4.8275 6.5490
Fe 4.1808 2.4138 4.1531
P 11.3479 4.4359 1.8021
P 6.5291 2.4370 1.8021
P 7.2074 7.6096 1.8021
P 9.4866 2.0280 5.3635
P 10.2234 7.2017 5.3635
P 5.3745 5.2529 5.3635
O 13.3741 5.9962 6.6552
O 13.2046 8.5842 6.6552
O 12.1703 5.7466 2.0305
O 11.0480 7.1434 6.6552
O 9.8837 4.9083 1.5910
O 11.3620 3.5087 2.9869
O 7.2530 1.0695 2.0305
O 7.6704 3.4688 1.5910
O 7.5304 6.1054 1.5910
O 8.7016 1.4782 4.1524
O 10.9828 1.9202 5.2291
O 11.0920 6.7967 4.1524
O 5.7191 2.8884 2.9869
O 5.6612 7.6665 2.0305
O 8.0033 8.0854 2.9869
O 9.0397 3.5119 5.5062
O 9.1618 6.0726 5.5062
O 9.5687 8.5513 5.2291
O 5.2909 6.2076 4.1524
O 6.8831 4.8980 5.5062
O 5.7123 2.2949 0.5066
O 4.5330 4.0111 5.2291
O 3.3120 1.1468 0.5066
O 3.5179 3.7996 0.5066
```


# 9
A plane-wave DFT calculation with PBEsol was carried out for a geometry-optimized Tc2OsPb structure.

Output
The calculation puts the spin magnetization at 0.00 μB/f.u. The formation energy is 0.566 eV per atom. As for the crystal system: tetragonal.

```
4
Lattice="2.9234 0.0000 0.0000 0.0000 2.9234 0.0000 0.0000 0.0000 7.5404" Properties=species:S:1:pos:R:3 pbc="T T T"
Os 0.0000 0.0000 3.5472
Pb 1.4617 1.4617 5.6579
Tc 0.0000 0.0000 0.2218
Tc 1.4617 1.4617 1.8837
```


# 10
A plane-wave DFT calculation with PBEsol was carried out for a geometry-optimized Cs2Mo4O13 structure.

Output
The calculation puts the spin magnetization at 0.01 μB/f.u. The final energy is -0.6044 Ry/atom. As for the crystal system: triclinic.

```
38
Lattice="8.4549 0.0592 -0.0233 -2.8765 8.1279 -0.0334 -2.4745 -4.0954 9.3032" Properties=species:S:1:pos:R:3 pbc="T T T"
Cs 3.7536 -0.2023 2.7911
Cs -0.6497 4.2941 6.4554
Cs 3.4296 4.2425 5.3059
Cs -0.3257 -0.1507 3.9406
Mo 2.1894 0.6321 6.8032
Mo 0.9145 3.4597 2.4433
Mo 3.3088 5.6096 0.4681
Mo -0.2049 -1.5178 8.7784
Mo -2.9548 0.5268 6.6344
Mo 6.0587 3.5649 2.6121
Mo 4.9642 -1.5667 8.9147
Mo -1.8602 5.6585 0.3317
O -1.7974 6.9692 1.4118
O 4.9013 -2.8774 7.8347
O 3.7875 1.3833 6.1554
O -0.6836 2.7085 3.0911
O 2.1493 4.1738 1.0303
O 0.9547 -0.0820 8.2162
O 0.6844 2.1457 0.5937
O 2.4195 1.9461 8.6528
O 3.8926 -0.2662 8.0704
O -0.7887 4.3580 1.1761
O 4.9305 2.4732 3.2739
O -1.8266 1.6186 5.9726
O -2.0357 -0.3941 8.0016
O 5.1396 4.4859 1.2449
O 5.4489 -0.6846 5.4443
O -2.3449 4.7764 3.8022
O 1.1354 1.7635 6.0914
O 1.9685 2.3283 3.1551
O 3.4671 6.4760 1.9376
O -0.3632 -2.3842 7.3089
O 2.0455 -0.7598 5.8151
O 1.0584 4.8515 3.4314
O 6.3989 2.0815 0.9389
O -3.2950 2.0102 8.3076
O -0.2421 2.4786 8.8870
O 3.3460 1.6132 0.3594
```


# 11
A plane-wave DFT calculation with PBEsol was carried out for a geometry-optimized HgTeH7O7 structure.

Output
The calculation puts the spin magnetization at 0.00 μB/f.u. The final energy is -0.3635 Ry/atom. As for the crystal system: triclinic.

```
32
Lattice="-1.4860 -5.4512 -0.5762 3.5967 -1.9191 5.8038 -7.1863 -0.5301 4.5167" Properties=species:S:1:pos:R:3 pbc="T T T"
H -3.8752 -6.7868 7.0170
H -1.2004 -1.1136 2.7273
H -5.6248 -5.7572 4.5271
H 0.5492 -2.1433 5.2173
H -0.8144 -3.3699 0.7561
H -4.2611 -4.5306 8.9882
H 1.2003 -5.4542 3.8042
H -6.2758 -2.4463 5.9401
H -1.4060 -5.0851 4.3254
H -3.6695 -2.8153 5.4190
H -0.4715 -4.5780 2.5028
H -4.6041 -3.3224 7.2415
H -0.1909 -3.7239 3.8667
H -4.8846 -4.1766 5.8776
Hg -0.3848 -5.8631 7.0361
Hg -4.6907 -2.0374 2.7082
O 0.2491 -7.2405 5.5194
O -5.3247 -0.6599 4.2249
O -1.7166 -1.8115 7.0324
O -3.3590 -6.0890 2.7119
O -5.0458 -6.3298 8.5493
O -0.0297 -1.5706 1.1950
O -4.7668 -5.4968 5.0375
O -0.3087 -2.4036 4.7068
O -2.0732 -5.2855 5.0789
O -3.0023 -2.6150 4.6655
O -1.1328 -4.2812 0.9976
O -3.9428 -3.6192 8.7467
O -0.1648 -4.6582 3.4566
O -4.9107 -3.2422 6.2878
Te -1.7948 -1.2246 5.1603
Te 0.0000 0.0000 0.0000
```


# 12
A plane-wave DFT calculation with PBEsol was carried out for a geometry-optimized NiRuPt2 structure.

Output
The calculation puts the spin magnetization at 0.63 μB/f.u. The formation energy is 0.027 eV per atom. As for the crystal system: trigonal. As for the energy above the most stable polymorph in this dataset: 49 meV per atom.

```
4
Lattice="-0.3240 1.3445 2.3180 -2.4433 0.9046 0.7053 -2.4861 -6.6494 5.0809" Properties=species:S:1:pos:R:3 pbc="T T T"
Ru -2.6267 -2.2002 4.0521
Pt -1.3022 -1.0471 1.9968
Pt -3.9513 -3.3533 6.1073
Ni 0.0000 0.0000 0.0000
```


# 13
A plane-wave DFT calculation with PBEsol was carried out for a geometry-optimized LiTcP2 structure.

Output
The calculation puts the spin magnetization at 0.00 μB/f.u. The formation energy is 0.179 eV per atom. As for the crystal system: orthorhombic. As for the energy above the most stable polymorph in this dataset: 673 meV per atom.

```
4
Lattice="-0.3221 -2.5125 -0.5463 0.3320 0.0599 2.5693 -8.9173 0.8971 1.1315" Properties=species:S:1:pos:R:3 pbc="T T T"
Li -2.2239 -1.0021 1.2943
P -0.2938 0.0296 0.0373
P -6.3027 -0.5918 1.8118
Tc -4.5455 0.4573 0.5768
```


# 14
A plane-wave DFT calculation with PBEsol was carried out for a geometry-optimized NbIrSeF2 structure.

Output
The calculation puts the spin magnetization at 1.58 μB/f.u. The final energy is -0.4107 Ry/atom. As for the crystal system: tetragonal.

```
5
Lattice="-1.4499 2.5300 2.6525 -3.4337 -1.9359 -0.0304 1.6940 -3.0650 3.8495" Properties=species:S:1:pos:R:3 pbc="T T T"
Nb -1.5948 -1.2355 3.2358
Ir 0.8470 -1.5325 1.9248
Se 0.0000 0.0000 0.0000
F -1.7168 -0.9680 -0.0152
F -0.7250 1.2650 1.3262
```


# 15
A plane-wave DFT calculation with PBEsol was carried out for a geometry-optimized NdPbAu2 structure.

Output
The calculation puts the spin magnetization at 0.00 μB/f.u. The formation energy is -0.605 eV per atom. As for the crystal system: cubic.

```
4
Lattice="5.0441 0.0000 0.0000 2.5220 4.3683 0.0000 2.5220 1.4561 4.1185" Properties=species:S:1:pos:R:3 pbc="T T T"
Pb 0.0000 0.0000 0.0000
Au 7.5661 4.3683 3.0889
Au 2.5220 1.4561 1.0296
Nd 5.0441 2.9122 2.0592
```


# 16
A plane-wave DFT calculation with PBEsol was carried out for a geometry-optimized Ni2H2Au structure.

Output
The calculation puts the spin magnetization at 0.00 μB/f.u. The final energy is -0.3396 Ry/atom. As for the crystal system: tetragonal.

```
5
Lattice="2.8283 0.0000 0.0000 0.0000 2.8283 0.0000 -1.4142 -1.4142 5.3884" Properties=species:S:1:pos:R:3 pbc="T T T"
Ni 0.0000 0.0000 3.5987
Ni 1.4142 1.4142 1.7898
Au 0.0000 0.0000 0.0000
H 0.0000 1.4142 2.6942
H 1.4142 0.0000 2.6942
```


# 17
A plane-wave DFT calculation with PBEsol was carried out for a geometry-optimized CoAsIO2 structure.

Output
The calculation puts the spin magnetization at 1.69 μB/f.u. The final energy is -0.3643 Ry/atom. As for the crystal system: tetragonal.

```
5
Lattice="3.6951 0.0000 0.0000 0.0000 3.6951 0.0000 0.0000 0.0000 6.1051" Properties=species:S:1:pos:R:3 pbc="T T T"
I 0.0000 0.0000 3.0526
As 0.0000 0.0000 0.0000
Co 1.8476 1.8476 3.0526
O 0.0000 1.8476 0.0000
O 1.8476 0.0000 0.0000
```


# 18
A plane-wave DFT calculation with PBEsol was carried out for a geometry-optimized Zr2IrCl structure.

Output
The calculation puts the spin magnetization at 0.00 μB/f.u. As for the crystal system: tetragonal. As for the energy above the most stable polymorph in this dataset: 0 meV per atom.

```
4
Lattice="-2.0431 2.1873 -0.6452 -1.8746 -0.4203 4.5115 3.1342 3.4052 1.6195" Properties=species:S:1:pos:R:3 pbc="T T T"
Ir -0.9028 3.1332 2.5815
Zr -1.4491 0.3378 2.0941
Zr 1.0559 2.2498 0.6483
Cl -0.5091 0.5451 -0.1608
```


# 19
A plane-wave DFT calculation with PBEsol was carried out for a geometry-optimized LaMnCd2 structure.

Output
The calculation puts the spin magnetization at 3.38 μB/f.u. The formation energy is 0.188 eV per atom. As for the crystal system: tetragonal.

```
4
Lattice="-1.4738 -4.0047 0.8429 3.9527 -1.6260 -0.8141 1.1953 0.5503 4.7043" Properties=species:S:1:pos:R:3 pbc="T T T"
Cd 0.0000 0.0000 0.0000
Cd 1.2395 -2.8153 0.0144
La -0.1393 -1.7272 2.7736
Mn 2.5740 -0.5378 1.9451
```


# 20
A plane-wave DFT calculation with PBEsol was carried out for a geometry-optimized La3GaPb structure.

Output
The calculation puts the spin magnetization at 0.00 μB/f.u. The formation energy is 0.354 eV per atom. As for the crystal system: cubic.

```
5
Lattice="5.9720 0.0000 0.0000 0.0000 5.9720 0.0000 0.0000 0.0000 5.9720" Properties=species:S:1:pos:R:3 pbc="T T T"
Pb 0.0000 0.0000 0.0000
Ga 2.9860 2.9860 2.9860
La 0.0000 2.9860 0.0000
La 0.0000 0.0000 2.9860
La 2.9860 0.0000 0.0000
```


# 21
A plane-wave DFT calculation with PBEsol was carried out for a geometry-optimized MnSbSe2Br structure.

Output
The calculation puts the spin magnetization at 5.00 μB/f.u. As for the crystal system: orthorhombic. As for the energy above the most stable polymorph in this dataset: 0 meV per atom.

```
20
Lattice="3.9264 0.0000 0.0000 0.0000 9.7467 0.0000 0.0000 0.0000 12.6570" Properties=species:S:1:pos:R:3 pbc="T T T"
Mn 0.9816 4.9321 3.0163
Mn 0.9816 0.0588 3.3122
Mn 2.9448 9.6879 9.3448
Mn 2.9448 4.8145 9.6407
Sb 2.9448 1.8701 0.4097
Sb 0.9816 3.0032 6.7382
Sb 2.9448 6.7434 5.9188
Sb 0.9816 7.8766 12.2473
Se 2.9448 4.3294 4.8374
Se 0.9816 7.3033 4.0826
Se 0.9816 2.4300 2.2459
Se 2.9448 7.3167 10.4112
Se 0.9816 0.5439 11.1659
Se 2.9448 2.4434 8.5744
Se 2.9448 9.2027 1.4911
Se 0.9816 5.4173 7.8196
Br 2.9448 5.5424 1.3964
Br 0.9816 9.0776 7.7249
Br 2.9448 0.6691 4.9321
Br 0.9816 4.2043 11.2606
```


# 22
A plane-wave DFT calculation with PBEsol was carried out for a geometry-optimized NaFe2PN structure.

Output
The calculation puts the spin magnetization at 3.75 μB/f.u. The final energy is -0.4811 Ry/atom. As for the crystal system: tetragonal.

```
5
Lattice="3.7220 0.0000 0.0000 0.0000 3.7220 0.0000 0.0000 0.0000 4.3086" Properties=species:S:1:pos:R:3 pbc="T T T"
P 1.8610 1.8610 2.1543
N 0.0000 0.0000 0.0000
Fe 0.0000 1.8610 0.0000
Fe 1.8610 0.0000 0.0000
Na 0.0000 0.0000 2.1543
```